# 1
Here is a relaxed structure of TmInHgPb from Alexandria. Energies are from PBE-GGA.

The space group is F-43m (216). The formation energy is -0.15 eV/atom.

a = 5.3656 Å, b = 5.3656 Å, c = 5.3656 Å
α = 60.00°, β = 60.00°, γ = 60.00°
Sites, in units of the cell vectors:
Pb (0.5000, 0.5000, 0.5000)
Tm (0.0000, 0.0000, 0.0000)
Hg (0.7500, 0.7500, 0.7500)
In (0.2500, 0.2500, 0.2500)

# 2
Here is a relaxed structure of TmInHgPb from Alexandria. Energies are from PBE-GGA.

The space group is Pmmm (47). The formation energy is -0.31 eV/atom.

a = 4.5976 Å, b = 4.6062 Å, c = 4.8030 Å
α = 90.00°, β = 90.00°, γ = 90.00°
Sites, in units of the cell vectors:
Tm (0.5000, 0.0000, 0.5000)
In (0.0000, 0.0000, 0.0000)
Hg (0.5000, 0.5000, 0.0000)
Pb (0.0000, 0.5000, 0.5000)